Entry 1:
TbVOs (PBE-GGA, optimized geometry); magnetic moment = 4.21 Bohr magnetons per cell; offset from the most stable computed form = 476 meV per atom; ΔE_f = 273 meV/atom; E = -0.592 Ry per atom; crystal system = tetragonal
1.0
6.7740 0.0000 0.0000
0.0000 6.7740 0.0000
0.0000 0.0000 5.9170
Tb V Os
4 4 4
direct
0.2408 0.2408 0.0000
0.2592 0.7408 0.2500
0.7408 0.2592 0.7500
0.7592 0.7592 0.5000
0.1954 0.8046 0.7500
0.3046 0.3046 0.5000
0.6954 0.6954 0.0000
0.8046 0.1954 0.2500
0.0532 0.0532 0.5000
0.4468 0.5532 0.7500
0.5532 0.4468 0.2500
0.9468 0.9468 0.0000

=====

Entry 2:
TbVOs2 (PBE-GGA, optimized geometry); magnetic moment = 0.00 Bohr magnetons per cell; offset from the most stable computed form = 173 meV per atom; ΔE_f = 63 meV/atom; E = -0.661 Ry per atom; crystal system = cubic
1.0
0.0000 3.2162 3.2162
3.2162 0.0000 3.2162
3.2162 3.2162 0.0000
Tb V Os
1 1 2
direct
0.0000 0.0000 0.0000
0.5000 0.5000 0.5000
0.2500 0.2500 0.2500
0.7500 0.7500 0.7500

=====

Entry 3:
TbVOs2 (PBE-GGA, optimized geometry); magnetic moment = 0.00 Bohr magnetons per cell; offset from the most stable computed form = 0 meV per atom; ΔE_f = -110 meV/atom; E = -0.673 Ry per atom; crystal system = tetragonal
1.0
3.0960 0.0000 0.0000
0.0000 3.0960 0.0000
0.0000 0.0000 7.0101
Tb V Os
1 1 2
direct
0.0000 0.0000 0.0000
0.0000 0.0000 0.5000
0.5000 0.5000 0.2955
0.5000 0.5000 0.7045

=====

Entry 4:
TbOsW (PBE-GGA, optimized geometry); magnetic moment = 0.00 Bohr magnetons per cell; ΔE_f = 509 meV/atom; E = -0.669 Ry per atom; crystal system = orthorhombic
1.0
0.0000 4.5789 10.2274
2.4627 0.0000 10.2274
2.4627 4.5789 0.0000
Tb Os W
4 4 4
direct
0.0440 0.7060 0.0440
0.2940 0.9560 0.2940
0.7060 0.0440 0.7060
0.9560 0.2940 0.9560
0.3111 0.3111 0.4389
0.4389 0.4389 0.3111
0.5611 0.5611 0.6889
0.6889 0.6889 0.5611
0.0029 0.0029 0.2471
0.2471 0.2471 0.0029
0.7529 0.7529 0.9971
0.9971 0.9971 0.7529

=====

Entry 5:
TbOs2W (PBE-GGA, optimized geometry); magnetic moment = 0.00 Bohr magnetons per cell; ΔE_f = 31 meV/atom; E = -0.733 Ry per atom; crystal system = tetragonal
1.0
3.1053 0.0000 0.0000
0.0000 3.1053 0.0000
0.0000 0.0000 7.3768
Tb Os W
1 2 1
direct
0.0000 0.0000 0.0000
0.5000 0.5000 0.2935
0.5000 0.5000 0.7065
0.0000 0.0000 0.5000

=====

Entry 6:
Tb2YOs (PBE-GGA, optimized geometry); magnetic moment = 0.00 Bohr magnetons per cell; offset from the most stable computed form = 17 meV per atom; ΔE_f = -221 meV/atom; E = -0.512 Ry per atom; crystal system = orthorhombic
1.0
2.0134 -5.9287 0.0000
2.0134 5.9287 0.0000
0.0000 0.0000 9.0060
Tb Y Os
4 2 2
direct
0.1446 0.8554 0.5657
0.1446 0.8554 0.9343
0.8554 0.1446 0.0657
0.8554 0.1446 0.4343
0.4256 0.5744 0.7500
0.5744 0.4256 0.2500
0.2421 0.7579 0.2500
0.7579 0.2421 0.7500

=====

Entry 7:
Tb3YOs (PBE-GGA, optimized geometry); magnetic moment = 0.00 Bohr magnetons per cell; offset from the most stable computed form = 90 meV per atom; ΔE_f = -54 meV/atom; E = -0.468 Ry per atom; crystal system = orthorhombic
1.0
7.7120 0.0000 0.0000
0.0000 6.4584 0.0000
0.0000 0.0000 6.2679
Tb Y Os
6 2 2
direct
0.0000 0.1585 0.0000
0.2501 0.3198 0.5030
0.2499 0.6802 0.0030
0.5000 0.8415 0.5000
0.7499 0.3198 0.5030
0.7501 0.6802 0.0030
0.0000 0.8411 0.5062
0.5000 0.1589 0.0062
0.0000 0.4990 0.2524
0.5000 0.5010 0.7524

=====

Entry 8:
Tb2YOs (PBE-GGA, optimized geometry); magnetic moment = 0.00 Bohr magnetons per cell; offset from the most stable computed form = 157 meV per atom; ΔE_f = -82 meV/atom; E = -0.501 Ry per atom; crystal system = tetragonal
1.0
3.4056 0.0000 0.0000
0.0000 3.4056 0.0000
0.0000 0.0000 9.3985
Tb Y Os
2 1 1
direct
0.0000 0.0000 0.1783
0.0000 0.0000 0.8217
0.5000 0.5000 0.5000
0.5000 0.5000 0.0000

=====

Entry 9:
Tb2YOs (PBE-GGA, optimized geometry); magnetic moment = 0.52 Bohr magnetons per cell; offset from the most stable computed form = 524 meV per atom; ΔE_f = 286 meV/atom; E = -0.474 Ry per atom; crystal system = trigonal
1.0
1.7386 1.0038 10.8362
-1.7386 1.0038 10.8362
0.0000 -2.0075 10.8362
Tb Y Os
2 1 1
direct
0.1057 0.1057 0.1057
0.8943 0.8943 0.8943
0.0000 0.0000 0.0000
0.5000 0.5000 0.5000

=====

Entry 10:
Tb2YOs (PBE-GGA, optimized geometry); magnetic moment = 0.00 Bohr magnetons per cell; offset from the most stable computed form = 0 meV per atom; ΔE_f = -238 meV/atom; E = -0.513 Ry per atom; crystal system = orthorhombic
1.0
7.4304 0.0000 0.0000
0.0000 9.1148 0.0000
0.0000 0.0000 6.3462
Tb Y Os
8 4 4
direct
0.1747 0.0630 0.1672
0.1747 0.4370 0.1672
0.3253 0.5630 0.6672
0.3253 0.9370 0.6672
0.6747 0.0630 0.3328
0.6747 0.4370 0.3328
0.8253 0.5630 0.8328
0.8253 0.9370 0.8328
0.0393 0.2500 0.6290
0.4607 0.7500 0.1290
0.5393 0.2500 0.8710
0.9607 0.7500 0.3710
0.1162 0.7500 0.9582
0.3838 0.2500 0.4582
0.6162 0.7500 0.5418
0.8838 0.2500 0.0418

=====

Entry 11:
TbY3Os (PBE-GGA, optimized geometry); magnetic moment = 0.68 Bohr magnetons per cell; ΔE_f = -142 meV/atom; E = -0.529 Ry per atom; crystal system = monoclinic
1.0
5.8860 -4.3251 0.0000
5.8860 4.3251 0.0000
-5.4812 0.0000 5.8818
Tb Y Os
2 6 2
direct
0.0547 0.0547 0.3514
0.9453 0.9453 0.6486
0.0531 0.4437 0.2012
0.4437 0.0531 0.2012
0.4452 0.4452 0.7423
0.5548 0.5548 0.2577
0.5563 0.9469 0.7988
0.9469 0.5563 0.7988
0.2489 0.2489 0.8738
0.7511 0.7511 0.1262

=====

Entry 12:
TbYOs4 (PBE-GGA, optimized geometry); magnetic moment = 0.00 Bohr magnetons per cell; ΔE_f = -258 meV/atom; E = -0.705 Ry per atom; crystal system = cubic
1.0
0.0000 3.7937 3.7937
3.7937 0.0000 3.7937
3.7937 3.7937 0.0000
Tb Y Os
1 1 4
direct
0.0000 0.0000 0.0000
0.2500 0.2500 0.2500
0.1250 0.6250 0.6250
0.6250 0.1250 0.6250
0.6250 0.6250 0.1250
0.6250 0.6250 0.6250

=====

Entry 13:
Tb3YOs (PBE-GGA, optimized geometry); magnetic moment = 0.00 Bohr magnetons per cell; offset from the most stable computed form = 0 meV per atom; ΔE_f = -145 meV/atom; E = -0.475 Ry per atom; crystal system = monoclinic
1.0
5.9068 -4.2919 0.0000
5.9068 4.2919 0.0000
-5.5267 0.0000 5.9060
Tb Y Os
6 2 2
direct
0.0541 0.4440 0.2015
0.0547 0.0547 0.3520
0.4440 0.0541 0.2015
0.5560 0.9459 0.7985
0.9453 0.9453 0.6480
0.9459 0.5560 0.7985
0.4449 0.4449 0.7431
0.5551 0.5551 0.2569
0.2489 0.2489 0.8738
0.7511 0.7511 0.1262

=====

Entry 14:
Tb12Zn6Os (PBE-GGA, optimized geometry); magnetic moment = 0.00 Bohr magnetons per cell; ΔE_f = -101 meV/atom; E = -0.295 Ry per atom; crystal system = trigonal
1.0
5.8318 3.3670 4.3799
-5.8318 3.3670 4.3799
0.0000 -6.7339 4.3799
Tb Zn Os
12 6 1
direct
0.0482 0.6981 0.9361
0.0639 0.9518 0.3019
0.1778 0.5308 0.4015
0.3019 0.0639 0.9518
0.4015 0.1778 0.5308
0.4692 0.5985 0.8222
0.5308 0.4015 0.1778
0.5985 0.8222 0.4692
0.6981 0.9361 0.0482
0.8222 0.4692 0.5985
0.9361 0.0482 0.6981
0.9518 0.3019 0.0639
0.1615 0.3610 0.7641
0.2359 0.8385 0.6390
0.3610 0.7641 0.1615
0.6390 0.2359 0.8385
0.7641 0.1615 0.3610
0.8385 0.6390 0.2359
0.5000 0.5000 0.5000

=====

Entry 15:
Tb5Zn4Os (PBE-GGA, optimized geometry); magnetic moment = 0.00 Bohr magnetons per cell; ΔE_f = -313 meV/atom; E = -0.313 Ry per atom; crystal system = tetragonal
1.0
3.5186 0.0000 0.0000
0.0000 3.5186 0.0000
0.0000 0.0000 18.1374
Tb Zn Os
5 4 1
direct
0.0000 0.0000 0.0000
0.0000 0.0000 0.2014
0.0000 0.0000 0.4096
0.0000 0.0000 0.5904
0.0000 0.0000 0.7986
0.5000 0.5000 0.1009
0.5000 0.5000 0.3003
0.5000 0.5000 0.6997
0.5000 0.5000 0.8991
0.5000 0.5000 0.5000

=====

Entry 16:
TbZnOs (PBE-GGA, optimized geometry); magnetic moment = 0.00 Bohr magnetons per cell; ΔE_f = 47 meV/atom; E = -0.416 Ry per atom; crystal system = monoclinic
1.0
4.1207 -2.7211 0.0000
4.1207 2.7211 0.0000
-1.0169 0.0000 5.1342
Tb Zn Os
2 2 2
direct
0.1614 0.1614 0.4422
0.8386 0.8386 0.5578
0.0000 0.5000 0.0000
0.5000 0.0000 0.0000
0.4952 0.4952 0.7576
0.5048 0.5048 0.2424

=====

Entry 17:
Tb6ZnOs2 (PBE-GGA, optimized geometry); magnetic moment = 0.00 Bohr magnetons per cell; ΔE_f = -230 meV/atom; E = -0.438 Ry per atom; crystal system = orthorhombic
1.0
-4.6975 4.7328 5.2131
4.6975 -4.7328 5.2131
4.6975 4.7328 -5.2131
Tb Zn Os
12 2 4
direct
0.0153 0.8301 0.1852
0.2450 0.5470 0.3020
0.2450 0.9430 0.6980
0.2757 0.3189 0.5946
0.2757 0.6811 0.9569
0.3552 0.1699 0.1852
0.6448 0.8301 0.8148
0.7243 0.3189 0.0431
0.7243 0.6811 0.4054
0.7550 0.0570 0.3020
0.7550 0.4530 0.6980
0.9847 0.1699 0.8148
0.0000 0.5000 0.5000
0.5000 0.0000 0.5000
0.0000 0.1805 0.1805
0.0000 0.8195 0.8195
0.3792 0.3792 0.0000
0.6208 0.6208 0.0000

=====

Entry 18:
Tb6ZnOs (PBE-GGA, optimized geometry); magnetic moment = 0.00 Bohr magnetons per cell; ΔE_f = -119 meV/atom; E = -0.379 Ry per atom; crystal system = tetragonal
1.0
-2.4797 2.4797 8.7655
2.4797 -2.4797 8.7655
2.4797 2.4797 -8.7655
Tb Zn Os
6 1 1
direct
0.0962 0.5962 0.5000
0.2478 0.2478 0.0000
0.4038 0.9038 0.5000
0.5962 0.0962 0.5000
0.7522 0.7522 0.0000
0.9038 0.4038 0.5000
0.0000 0.0000 0.0000
0.5000 0.5000 0.0000

=====

Entry 19:
TbZnOs (PBE-GGA, optimized geometry); magnetic moment = 0.00 Bohr magnetons per cell; ΔE_f = -285 meV/atom; E = -0.441 Ry per atom; crystal system = orthorhombic
1.0
-2.6647 2.6988 3.8012
2.6647 -2.6988 3.8012
2.6647 2.6988 -3.8012
Tb Zn Os
2 2 2
direct
0.3663 0.1163 0.2500
0.6337 0.8837 0.7500
0.0000 0.5000 0.5000
0.5000 0.5000 0.0000
0.0000 0.0000 0.5000
0.0000 0.5000 0.0000

=====

Entry 20:
Tb7Zn2Os2 (PBE-GGA, optimized geometry); magnetic moment = 0.00 Bohr magnetons per cell; ΔE_f = -110 meV/atom; E = -0.392 Ry per atom; crystal system = orthorhombic
1.0
3.9072 -5.4095 0.0000
3.9072 5.4095 0.0000
0.0000 0.0000 7.1165
Tb Zn Os
7 2 2
direct
0.0000 0.0000 0.0000
0.0000 0.5000 0.2597
0.0000 0.5000 0.7403
0.5000 0.0000 0.2597
0.5000 0.0000 0.7403
0.5000 0.5000 0.2487
0.5000 0.5000 0.7513
0.1668 0.1668 0.5000
0.8332 0.8332 0.5000
0.2957 0.7043 0.0000
0.7043 0.2957 0.0000